VASP calculation (PBE with a Hubbard U) on a relaxed structure of KNi2F.

The value obtained for the density of states at the Fermi level is 1.047 states/eV per atom. For the total DFT energy (no corrections), the calculation gives -1.2198 eV/atom. The total magnetization is 3.72 μB per formula unit. Its excess energy over the best structure of this formula in the dataset is 844 meV/atom.

Structure (POSCAR):
```
KNi2F
1.0
0.000 3.601 3.601
3.601 0.000 3.601
3.601 3.601 0.000
Ni K F
2 1 1
Direct
0.250 0.250 0.250 Ni
0.750 0.750 0.750 Ni
0.500 0.500 0.500 K
0.000 0.000 0.000 F
```